Computed, not measured: an optimized crystal structure of AlSiNi2As at the PBE-GGA level of DFT.

Unit cell a=4.3483 b=4.3483 c=4.8410 alpha=90.00 beta=90.00 gamma=90.00
With the nearest neighbours (Å) after each atom.
Sites, in units of the cell vectors:
Al1 0.0000 0.0000 0.0000  2 As 2.42
Si1 0.5000 0.5000 0.0000  4 Al 3.07, 8 Ni 3.25
Ni1 0.0000 0.5000 0.5000  2 As 2.17
Ni2 0.5000 0.0000 0.5000  2 As 2.17
As1 0.0000 0.0000 0.5000  4 Ni 2.17, 2 Al 2.42

Summary:
E_tot: -4.43 eV per atom
size of the total moment: 0.000 μB/atom
formation energy from raw total energies: 3.2 eV/f.u.